A relaxed Sr2CaTe4Pb crystal. Source: the Alexandria database, functional PBE.

```
data_Sr2CaTe4Pb
_symmetry_space_group_name_H-M 'P 1 2/m 1'
_symmetry_Int_Tables_number 10
_cell_length_a 8.083
_cell_length_b 4.668
_cell_length_c 8.116
_cell_angle_alpha 90.00
_cell_angle_beta 109.46
_cell_angle_gamma 90.00
loop_
_symmetry_equiv_pos_as_xyz
'x,y,z'
'-x,-y,-z'
'-x,y,-z'
'x,-y,z'
loop_
_atom_site_label
_atom_site_type_symbol
_atom_site_fract_x
_atom_site_fract_y
_atom_site_fract_z
_atom_site_occupancy
Sr1 Sr 0.000 0.000 0.000 1
Sr2 Sr 0.000 0.500 0.500 1
Ca1 Ca 0.500 0.000 0.500 1
Te1 Te 0.258 0.000 0.748 1
Te2 Te 0.260 0.500 0.257 1
Pb1 Pb 0.500 0.500 0.000 1
```

Output
For the total magnetization, the calculation gives 0.00 μB/cell. The calculation puts the density of states at the Fermi level at 0.00 states/eV/atom. As for the formation energy without anion corrections: -10.98 eV/f.u.

---

A relaxed Sr2CaTePb crystal. Source: the Alexandria database, functional PBE.

```
data_Sr2CaTePb
_symmetry_space_group_name_H-M 'P 4/m m m'
_symmetry_Int_Tables_number 123
_symmetry_space_group_name_Hall '-P 4 2'
_cell_length_a 6.299
_cell_length_b 6.299
_cell_length_c 6.288
_cell_angle_alpha 90.00
_cell_angle_beta 90.00
_cell_angle_gamma 90.00
loop_
_atom_site_label
_atom_site_type_symbol
_atom_site_fract_x
_atom_site_fract_y
_atom_site_fract_z
_atom_site_occupancy
Sr1 Sr 0.000 0.500 0.000 1
Ca1 Ca 0.000 0.000 0.500 1
Te1 Te 0.500 0.500 0.500 1
Pb1 Pb 0.500 0.500 0.000 1
```

Output
For the total magnetization, the calculation gives 0.00 μB/cell. The calculation puts the density of states at the Fermi level at 0.64 states/eV/atom. As for the formation energy without anion corrections: -0.38 eV/f.u.

---

A relaxed SrCaTlPb2 crystal. Source: the Alexandria database, functional PBE.

```
data_SrCaTlPb2
_symmetry_space_group_name_H-M 'P 4/m m m'
_symmetry_Int_Tables_number 123
_symmetry_space_group_name_Hall '-P 4 2'
_cell_length_a 5.945
_cell_length_b 5.945
_cell_length_c 5.830
_cell_angle_alpha 90.00
_cell_angle_beta 90.00
_cell_angle_gamma 90.00
loop_
_atom_site_label
_atom_site_type_symbol
_atom_site_fract_x
_atom_site_fract_y
_atom_site_fract_z
_atom_site_occupancy
Sr1 Sr 0.000 0.000 0.000 1
Ca1 Ca 0.500 0.500 0.000 1
Tl1 Tl 0.500 0.500 0.500 1
Pb1 Pb 0.000 0.500 0.500 1
```

Output
For the total magnetization, the calculation gives 0.00 μB/cell. The calculation puts the density of states at the Fermi level at 0.95 states/eV/atom. The formation energy from the elements is 0.104 eV per atom.

---

A relaxed Sr2CaTl7Pb2 crystal. Source: the Alexandria database, functional PBE.

```
data_Sr2CaTl7Pb2
_symmetry_space_group_name_H-M 'C 1 2/m 1'
_symmetry_Int_Tables_number 12
_cell_length_a 6.861
_cell_length_b 6.819
_cell_length_c 16.732
_cell_angle_alpha 90.00
_cell_angle_beta 97.18
_cell_angle_gamma 90.00
loop_
_symmetry_equiv_pos_as_xyz
'x,y,z'
'-x,-y,-z'
'-x,y,-z'
'x,-y,z'
'x+1/2,y+1/2,z'
'-x+1/2,-y+1/2,-z'
'-x+1/2,y+1/2,-z'
'x+1/2,-y+1/2,z'
loop_
_atom_site_label
_atom_site_type_symbol
_atom_site_fract_x
_atom_site_fract_y
_atom_site_fract_z
_atom_site_occupancy
Sr1 Sr 0.103 0.000 0.325 1
Ca1 Ca 0.000 0.000 0.000 1
Tl1 Tl 0.000 0.500 0.000 1
Tl2 Tl 0.207 0.249 0.849 1
Tl3 Tl 0.222 0.500 0.473 1
Pb1 Pb 0.089 0.500 0.286 1
```

Output
For the total magnetization, the calculation gives 0.00 μB/cell. The calculation puts the density of states at the Fermi level at 0.60 states/eV/atom. The formation energy from the elements is -0.230 eV per atom.

---

A relaxed SrCa2ZnPb crystal. Source: the Alexandria database, functional PBE.

```
data_SrCa2ZnPb
_symmetry_space_group_name_H-M 'P 4/m m m'
_symmetry_Int_Tables_number 123
_symmetry_space_group_name_Hall '-P 4 2'
_cell_length_a 5.691
_cell_length_b 5.691
_cell_length_c 5.637
_cell_angle_alpha 90.00
_cell_angle_beta 90.00
_cell_angle_gamma 90.00
loop_
_atom_site_label
_atom_site_type_symbol
_atom_site_fract_x
_atom_site_fract_y
_atom_site_fract_z
_atom_site_occupancy
Sr1 Sr 0.000 0.000 0.000 1
Ca1 Ca 0.000 0.500 0.500 1
Zn1 Zn 0.500 0.500 0.500 1
Pb1 Pb 0.500 0.500 0.000 1
```

Output
For the total magnetization, the calculation gives 0.00 μB/cell. The calculation puts the density of states at the Fermi level at 0.52 states/eV/atom. The formation energy from the elements is -0.090 eV per atom.

---

A relaxed CaTa4Pb crystal. Source: the Alexandria database, functional PBE.

```
data_CaTa4Pb
_symmetry_space_group_name_H-M 'F -4 3 m'
_symmetry_Int_Tables_number 216
_symmetry_space_group_name_Hall 'F -4 2 3'
_cell_length_a 8.076
_cell_length_b 8.076
_cell_length_c 8.076
_cell_angle_alpha 90.00
_cell_angle_beta 90.00
_cell_angle_gamma 90.00
loop_
_atom_site_label
_atom_site_type_symbol
_atom_site_fract_x
_atom_site_fract_y
_atom_site_fract_z
_atom_site_occupancy
Ca1 Ca 0.000 0.000 0.000 1
Ta1 Ta 0.128 0.128 0.372 1
Pb1 Pb 0.250 0.250 0.750 1
```

Output
For the total magnetization, the calculation gives 0.00 μB/cell. The calculation puts the density of states at the Fermi level at 0.96 states/eV/atom. The formation energy from the elements is 0.504 eV per atom.

---

A relaxed Ca4TaPb crystal. Source: the Alexandria database, functional PBE.

```
data_Ca4TaPb
_symmetry_space_group_name_H-M 'F -4 3 m'
_symmetry_Int_Tables_number 216
_symmetry_space_group_name_Hall 'F -4 2 3'
_cell_length_a 9.121
_cell_length_b 9.121
_cell_length_c 9.121
_cell_angle_alpha 90.00
_cell_angle_beta 90.00
_cell_angle_gamma 90.00
loop_
_atom_site_label
_atom_site_type_symbol
_atom_site_fract_x
_atom_site_fract_y
_atom_site_fract_z
_atom_site_occupancy
Ca1 Ca 0.125 0.125 0.125 1
Ta1 Ta 0.000 0.000 0.500 1
Pb1 Pb 0.250 0.250 0.750 1
```

Output
For the total magnetization, the calculation gives 15.44 μB/cell. The calculation puts the density of states at the Fermi level at 0.80 states/eV/atom. The formation energy from the elements is 0.749 eV per atom.

---

A relaxed Ca3TaPb crystal. Source: the Alexandria database, functional PBE.

```
data_Ca3TaPb
_symmetry_space_group_name_H-M 'P m -3 m'
_symmetry_Int_Tables_number 221
_symmetry_space_group_name_Hall '-P 4 2 3'
_cell_length_a 5.820
_cell_length_b 5.820
_cell_length_c 5.820
_cell_angle_alpha 90.00
_cell_angle_beta 90.00
_cell_angle_gamma 90.00
loop_
_atom_site_label
_atom_site_type_symbol
_atom_site_fract_x
_atom_site_fract_y
_atom_site_fract_z
_atom_site_occupancy
Ca1 Ca 0.000 0.000 0.500 1
Ta1 Ta 0.500 0.500 0.500 1
Pb1 Pb 0.000 0.000 0.000 1
```

Output
Its energy above the most stable polymorph in this dataset is 216.9 meV/atom. For the total magnetization, the calculation gives 0.00 μB/cell. The calculation puts the density of states at the Fermi level at 2.43 states/eV/atom. The formation energy from the elements is 1.127 eV per atom.

---

Values for electronic total energy, hartree per atom, ordered as above
-0.1498, -0.0926, -0.0952, -0.0983, -0.0817, -0.3068, -0.1168, -0.1171